64
Lattice="8.586 0.000 0.000 0.000 8.586 0.000 0.000 0.000 8.588" Properties=species:S:1:pos:R:3 comment="KMg30FeO32 | the Alexandria database | PBE+U | optimized geometry" energy_ev_per_cell=-378.6 pbc="T T T"
K 0.000 0.000 0.000
Mg 0.000 0.000 4.294
Mg 0.000 2.153 2.161
Mg 0.000 2.153 6.427
Mg 0.000 4.293 0.000
Mg 0.000 4.293 4.294
Mg 0.000 6.433 2.161
Mg 0.000 6.433 6.427
Mg 2.127 4.293 2.163
Mg 2.127 4.293 6.425
Mg 2.135 2.135 0.000
Mg 2.139 2.139 4.294
Mg 2.135 6.451 0.000
Mg 2.139 6.447 4.294
Mg 2.153 0.000 2.161
Mg 2.153 0.000 6.427
Mg 4.293 0.000 0.000
Mg 4.293 0.000 4.294
Mg 4.293 2.127 2.163
Mg 4.293 2.127 6.425
Mg 4.293 4.293 4.294
Mg 4.293 6.459 2.163
Mg 4.293 6.459 6.425
Mg 6.433 0.000 2.161
Mg 6.433 0.000 6.427
Mg 6.451 2.135 0.000
Mg 6.447 2.139 4.294
Mg 6.451 6.451 0.000
Mg 6.447 6.447 4.294
Mg 6.459 4.293 2.163
Mg 6.459 4.293 6.425
Fe 4.293 4.293 0.000
O 0.000 0.000 2.346
O 0.000 0.000 6.242
O 0.000 2.189 4.294
O 0.000 2.358 0.000
O 0.000 4.293 2.177
O 0.000 4.293 6.411
O 0.000 6.228 0.000
O 0.000 6.397 4.294
O 2.153 2.153 2.141
O 2.153 2.153 6.447
O 2.153 6.433 2.141
O 2.153 6.433 6.447
O 2.174 4.293 4.294
O 2.189 0.000 4.294
O 2.236 4.293 0.000
O 2.358 0.000 0.000
O 4.293 0.000 2.177
O 4.293 0.000 6.411
O 4.293 2.174 4.294
O 4.293 2.236 0.000
O 4.293 4.293 2.106
O 4.293 4.293 6.482
O 4.293 6.350 0.000
O 4.293 6.412 4.294
O 6.228 0.000 0.000
O 6.350 4.293 0.000
O 6.397 0.000 4.294
O 6.412 4.293 4.294
O 6.433 2.153 2.141
O 6.433 2.153 6.447
O 6.433 6.433 2.141
O 6.433 6.433 6.447